[1]
Below is crystalline CsLaO2F at its relaxed geometry, with properties calculated at the PBE level.

Lattice parameters (Å, degrees): 4.616 4.616 4.965 90.00 90.00 90.00
Fractional positions:
Cs 0.000 0.000 0.000
La 0.500 0.500 0.500
O 0.000 0.500 0.500
O 0.500 0.000 0.500
F 0.500 0.500 0.000

Properties
DFT total energy   -6.095 eV per atom
Volume   21.2 Å³ per atom
Density   5.07 g cm⁻³

[2]
Below is crystalline Cs2LaOF6 at its relaxed geometry, with properties calculated at the PBE level.

Lattice parameters (Å, degrees): 6.618 6.618 6.618 120.25 120.25 89.57
Fractional positions:
Cs 0.250 0.750 0.500
Cs 0.750 0.250 0.500
La 0.000 0.000 0.000
O 0.500 0.500 0.000
F 0.246 0.246 0.000
F 0.248 0.248 0.495
F 0.248 0.752 0.000
F 0.752 0.248 0.000
F 0.752 0.752 0.505
F 0.754 0.754 0.000

Properties
DFT total energy   -4.787 eV per atom
Volume   20.4 Å³ per atom
Density   4.35 g cm⁻³

[3]
Below is crystalline Cs2LaOsF6 at its relaxed geometry, with properties calculated at the PBE level.

Lattice parameters (Å, degrees): 6.569 6.569 6.569 118.15 118.15 93.23
Fractional positions:
Cs 0.250 0.750 0.500
Cs 0.750 0.250 0.500
La 0.000 0.000 0.000
Os 0.500 0.500 0.000
F 0.243 0.243 0.486
F 0.243 0.757 0.000
F 0.259 0.259 0.000
F 0.741 0.741 0.000
F 0.757 0.243 0.000
F 0.757 0.757 0.514

Properties
DFT total energy   -5.191 eV per atom
Volume   20.6 Å³ per atom
Density   5.72 g cm⁻³

[4]
Below is crystalline CsLaPbF6 at its relaxed geometry, with properties calculated at the PBE level.

Lattice parameters (Å, degrees): 8.932 8.932 8.932 122.05 119.60 88.60
Fractional positions:
Cs 0.308 0.058 0.250
Cs 0.692 0.942 0.750
La 0.000 0.500 0.500
La 0.500 0.500 0.000
Pb 0.000 0.000 0.500
Pb 0.000 0.500 0.000
F 0.060 0.418 0.246
F 0.060 0.814 0.643
F 0.086 0.836 0.250
F 0.306 0.556 0.750
F 0.329 0.186 0.746
F 0.329 0.582 0.143
F 0.671 0.418 0.857
F 0.671 0.814 0.254
F 0.694 0.444 0.250
F 0.914 0.164 0.750
F 0.940 0.186 0.357
F 0.940 0.582 0.754

Properties
DFT total energy   -5.498 eV per atom
Volume   27.6 Å³ per atom
Density   3.96 g cm⁻³